No. 1
## GaBSb2Te (PBE)

Data for crystalline GaBSb2Te at its relaxed geometry.

a = 5.273 Å, b = 5.273 Å, c = 5.422 Å
α = 90.00°, β = 90.00°, γ = 90.00°
Sites, in units of the cell vectors:
1 Ga 0.000 0.000 0.000
2 B 0.500 0.500 0.500
3 Sb 0.000 0.500 0.000
4 Sb 0.500 0.000 0.000
5 Te 0.000 0.000 0.500

Calculated values
The space-group type is P4/mmm. The uncorrected formation energy comes out at 1.39 eV per atom. The calculation puts the density at 4.974 Mg/m³. The calculation puts the density of states at the Fermi level at 3.58 states/eV per cell.

=====

No. 2
## MgSiIr3 (PBE)

Data for crystalline MgSiIr3 at its relaxed geometry.

a = 4.434 Å, b = 4.434 Å, c = 4.434 Å
α = 90.00°, β = 90.00°, γ = 90.00°
Sites, in units of the cell vectors:
1 Mg 0.000 0.000 0.000
2 Si 0.500 0.500 0.500
3 Ir 0.000 0.500 0.500
4 Ir 0.500 0.000 0.500
5 Ir 0.500 0.500 0.000

Calculated values
The space-group type is Pm-3m. The uncorrected formation energy comes out at 0.23 eV per atom. The calculation puts the density at 11.980 Mg/m³. The calculation puts the density of states at the Fermi level at 4.05 states/eV per cell.

=====

No. 3
## NpSbPbAu (PBE)

Data for crystalline NpSbPbAu at its relaxed geometry.

a = 5.275 Å, b = 5.275 Å, c = 5.275 Å
α = 60.00°, β = 60.00°, γ = 60.00°
Sites, in units of the cell vectors:
1 Np 0.000 0.000 0.000
2 Sb 0.250 0.250 0.250
3 Pb 0.500 0.500 0.500
4 Au 0.750 0.750 0.750

Calculated values
The space-group type is F-43m. The uncorrected formation energy comes out at 0.00 eV per atom. The calculation puts the density at 12.206 Mg/m³. The calculation puts the density of states at the Fermi level at 15.74 states/eV per cell.

=====

No. 4
## Ce6FePdPb2 (PBE)

Data for crystalline Ce6FePdPb2 at its relaxed geometry.

a = 7.441 Å, b = 7.441 Å, c = 7.441 Å
α = 118.58°, β = 118.58°, γ = 92.49°
Sites, in units of the cell vectors:
1 Ce 0.230 0.230 0.000
2 Ce 0.244 0.244 0.489
3 Ce 0.244 0.756 0.000
4 Ce 0.756 0.244 0.000
5 Ce 0.756 0.756 0.511
6 Ce 0.770 0.770 0.000
7 Fe 0.000 0.000 0.000
8 Pd 0.500 0.500 0.000
9 Pb 0.250 0.750 0.500
10 Pb 0.750 0.250 0.500

Calculated values
The space-group type is I4/mmm. The calculation puts the density at 7.915 Mg/m³. Its formation energy from the elements is -0.217 eV/atom. The calculation puts the density of states at the Fermi level at 32.97 states/eV per cell.

=====

No. 5
## CsPaI2O8 (PBE)

Data for crystalline CsPaI2O8 at its relaxed geometry.

a = 6.530 Å, b = 6.530 Å, c = 8.309 Å
α = 90.00°, β = 90.00°, γ = 120.00°
Sites, in units of the cell vectors:
1 Cs 0.000 0.000 0.000
2 Pa 0.000 0.000 0.500
3 I 0.333 0.667 0.332
4 I 0.667 0.333 0.668
5 O 0.156 0.312 0.346
6 O 0.156 0.844 0.346
7 O 0.312 0.156 0.654
8 O 0.333 0.667 0.118
9 O 0.667 0.333 0.882
10 O 0.688 0.844 0.346
11 O 0.844 0.156 0.654
12 O 0.844 0.688 0.654

Calculated values
The space-group type is P-3m1. The uncorrected formation energy comes out at -1.41 eV per atom. The calculation puts the density at 4.036 Mg/m³. The calculation puts the density of states at the Fermi level at 0.00 states/eV per cell.

=====

No. 6
## Y2CdCl (PBE)

Data for crystalline Y2CdCl at its relaxed geometry.

a = 3.791 Å, b = 3.791 Å, c = 8.423 Å
α = 102.94°, β = 102.94°, γ = 59.91°
Sites, in units of the cell vectors:
1 Y 0.241 0.241 0.223
2 Y 0.759 0.759 0.777
3 Cd 0.000 0.000 0.500
4 Cl 0.500 0.500 0.000

Calculated values
The space-group type is C2/m. The uncorrected formation energy comes out at -0.72 eV per atom. The calculation puts the density at 5.345 Mg/m³. The calculation puts the density of states at the Fermi level at 2.45 states/eV per cell.

=====

No. 7
## Pr2Sm5Cd4 (PBE)

Data for crystalline Pr2Sm5Cd4 at its relaxed geometry.

a = 12.542 Å, b = 12.542 Å, c = 8.095 Å
α = 93.08°, β = 93.08°, γ = 15.59°
Sites, in units of the cell vectors:
1 Pr 0.094 0.094 0.221
2 Pr 0.906 0.906 0.779
3 Sm 0.139 0.139 0.633
4 Sm 0.234 0.234 0.301
5 Sm 0.500 0.500 0.500
6 Sm 0.766 0.766 0.699
7 Sm 0.861 0.861 0.367
8 Cd 0.036 0.036 0.852
9 Cd 0.327 0.327 0.027
10 Cd 0.673 0.673 0.973
11 Cd 0.964 0.964 0.148

Calculated values
The space-group type is C2/m. The calculation puts the density at 7.206 Mg/m³. Its formation energy from the elements is -0.001 eV/atom. The calculation puts the density of states at the Fermi level at 14.29 states/eV per cell.

=====

No. 8
## BaSr2Li (PBE)

Data for crystalline BaSr2Li at its relaxed geometry.

a = 7.363 Å, b = 7.363 Å, c = 7.363 Å
α = 134.36°, β = 134.36°, γ = 66.53°
Sites, in units of the cell vectors:
1 Ba 0.000 0.000 0.000
2 Sr 0.250 0.750 0.500
3 Sr 0.750 0.250 0.500
4 Li 0.500 0.500 0.000

Calculated values
The space-group type is I4/mmm. The calculation puts the density at 2.642 Mg/m³. Its formation energy from the elements is 0.104 eV/atom. The calculation puts the density of states at the Fermi level at 4.74 states/eV per cell.

=====

No. 9
## Tm2OsSe (PBE)

Data for crystalline Tm2OsSe at its relaxed geometry.

a = 3.417 Å, b = 3.417 Å, c = 7.127 Å
α = 90.00°, β = 90.00°, γ = 90.00°
Sites, in units of the cell vectors:
1 Tm 0.000 0.000 0.232
2 Tm 0.000 0.000 0.768
3 Os 0.500 0.500 0.000
4 Se 0.500 0.500 0.500

Calculated values
The space-group type is P4/mmm. The uncorrected formation energy comes out at -0.88 eV per atom. The calculation puts the density at 12.117 Mg/m³. The calculation puts the density of states at the Fermi level at 0.55 states/eV per cell.

=====

No. 10
## ThTe3Au (PBE)

Data for crystalline ThTe3Au at its relaxed geometry.

a = 4.269 Å, b = 9.481 Å, c = 7.904 Å
α = 90.00°, β = 90.00°, γ = 90.00°
Sites, in units of the cell vectors:
1 Th 0.000 0.136 0.000
2 Th 0.000 0.864 0.500
3 Te 0.000 0.221 0.601
4 Te 0.000 0.779 0.101
5 Te 0.500 0.055 0.300
6 Te 0.500 0.380 0.094
7 Te 0.500 0.620 0.594
8 Te 0.500 0.945 0.800
9 Au 0.500 0.349 0.757
10 Au 0.500 0.651 0.257

Calculated values
The space-group type is Pmc2_1. The uncorrected formation energy comes out at -0.68 eV per atom. The calculation puts the density at 8.428 Mg/m³. The calculation puts the density of states at the Fermi level at 5.87 states/eV per cell.

=====

No. 11
## CaLaP2 (PBE)

Data for crystalline CaLaP2 at its relaxed geometry.

a = 4.277 Å, b = 4.277 Å, c = 7.124 Å
α = 107.48°, β = 107.48°, γ = 60.10°
Sites, in units of the cell vectors:
1 Ca 0.000 0.000 0.000
2 La 0.500 0.500 0.500
3 P 0.250 0.250 0.748
4 P 0.750 0.750 0.252

Calculated values
The space-group type is C2/m. The calculation puts the density at 3.776 Mg/m³. Its formation energy from the elements is -1.145 eV/atom. The calculation puts the density of states at the Fermi level at 5.19 states/eV per cell.

=====

No. 12
## CdOsAu2 (PBE)

Data for crystalline CdOsAu2 at its relaxed geometry.

a = 10.157 Å, b = 10.157 Å, c = 10.157 Å
α = 157.46°, β = 157.46°, γ = 32.08°
Sites, in units of the cell vectors:
1 Cd 0.000 0.000 0.000
2 Cd 0.750 0.250 0.500
3 Os 0.250 0.750 0.500
4 Os 0.500 0.500 0.000
5 Au 0.134 0.625 0.009
6 Au 0.375 0.384 0.509
7 Au 0.616 0.125 0.991
8 Au 0.875 0.866 0.491

Calculated values
The space-group type is I-42d. The calculation puts the density at 15.042 Mg/m³. Its formation energy from the elements is 0.807 eV/atom. The calculation puts the density of states at the Fermi level at 7.68 states/eV per cell.

=====

No. 13
## Ti12Ga6Cu (PBE)

Data for crystalline Ti12Ga6Cu at its relaxed geometry.

a = 6.745 Å, b = 6.745 Å, c = 6.745 Å
α = 89.10°, β = 89.10°, γ = 89.10°
Sites, in units of the cell vectors:
1 Ti 0.019 0.308 0.938
2 Ti 0.062 0.981 0.692
3 Ti 0.117 0.357 0.437
4 Ti 0.308 0.938 0.019
5 Ti 0.357 0.437 0.117
6 Ti 0.437 0.117 0.357
7 Ti 0.563 0.883 0.643
8 Ti 0.643 0.563 0.883
9 Ti 0.692 0.062 0.981
10 Ti 0.883 0.643 0.563
11 Ti 0.938 0.019 0.308
12 Ti 0.981 0.692 0.062
13 Ga 0.233 0.752 0.377
14 Ga 0.248 0.623 0.767
15 Ga 0.377 0.233 0.752
16 Ga 0.623 0.767 0.248
17 Ga 0.752 0.377 0.233
18 Ga 0.767 0.248 0.623
19 Cu 0.500 0.500 0.500

Calculated values
The space-group type is R-3. The calculation puts the density at 5.719 Mg/m³. Its formation energy from the elements is -0.254 eV/atom. The calculation puts the density of states at the Fermi level at 21.11 states/eV per cell.

=====

No. 14
## Sr4SiIr (PBE)

Data for crystalline Sr4SiIr at its relaxed geometry.

a = 6.367 Å, b = 6.367 Å, c = 6.367 Å
α = 60.00°, β = 60.00°, γ = 60.00°
Sites, in units of the cell vectors:
1 Sr 0.124 0.124 0.124
2 Sr 0.124 0.124 0.627
3 Sr 0.124 0.627 0.124
4 Sr 0.627 0.124 0.124
5 Si 0.500 0.500 0.500
6 Ir 0.750 0.750 0.750

Calculated values
The space-group type is F-43m. The uncorrected formation energy comes out at 0.95 eV per atom. The calculation puts the density at 5.193 Mg/m³. The calculation puts the density of states at the Fermi level at 5.38 states/eV per cell.

=====

No. 15
## NaMg3 (PBE)

Data for crystalline NaMg3 at its relaxed geometry.

a = 3.210 Å, b = 3.210 Å, c = 11.221 Å
α = 90.00°, β = 90.00°, γ = 120.00°
Sites, in units of the cell vectors:
1 Na 0.000 0.000 0.000
2 Mg 0.000 0.000 0.500
3 Mg 0.333 0.667 0.264
4 Mg 0.333 0.667 0.736

Calculated values
The space-group type is P-6m2. The calculation puts the density at 1.591 Mg/m³. Its formation energy from the elements is 0.056 eV/atom. The calculation puts the density of states at the Fermi level at 1.89 states/eV per cell.

=====

No. 16
## TlBiAu3 (PBE)

Data for crystalline TlBiAu3 at its relaxed geometry.

a = 5.465 Å, b = 5.465 Å, c = 5.465 Å
α = 90.00°, β = 90.00°, γ = 90.00°
Sites, in units of the cell vectors:
1 Tl 0.000 0.000 0.000
2 Bi 0.500 0.500 0.500
3 Au 0.000 0.500 0.500
4 Au 0.500 0.000 0.500
5 Au 0.500 0.500 0.000

Calculated values
The space-group type is Pm-3m. The calculation puts the density at 10.220 Mg/m³. Its formation energy from the elements is 0.304 eV/atom. The calculation puts the density of states at the Fermi level at 1.62 states/eV per cell.

=====

No. 17
## EuPd4Pb (PBE)

Data for crystalline EuPd4Pb at its relaxed geometry.

a = 5.485 Å, b = 5.485 Å, c = 5.485 Å
α = 60.00°, β = 60.00°, γ = 60.00°
Sites, in units of the cell vectors:
1 Eu 0.000 0.000 0.000
2 Pd 0.375 0.375 0.375
3 Pd 0.375 0.375 0.874
4 Pd 0.375 0.874 0.375
5 Pd 0.874 0.375 0.375
6 Pb 0.750 0.750 0.750

Calculated values
The space-group type is F-43m. The calculation puts the density at 11.166 Mg/m³. Its formation energy from the elements is -0.497 eV/atom. The calculation puts the density of states at the Fermi level at 12.54 states/eV per cell.

=====

No. 18
## SnHgICl2 (PBE)

Data for crystalline SnHgICl2 at its relaxed geometry.

a = 5.302 Å, b = 5.302 Å, c = 6.261 Å
α = 90.00°, β = 90.00°, γ = 90.00°
Sites, in units of the cell vectors:
1 Sn 0.000 0.000 0.000
2 Hg 0.500 0.500 0.500
3 I 0.000 0.000 0.500
4 Cl 0.000 0.500 0.000
5 Cl 0.500 0.000 0.000

Calculated values
The space-group type is P4/mmm. The uncorrected formation energy comes out at -0.50 eV per atom. The calculation puts the density at 4.880 Mg/m³. The calculation puts the density of states at the Fermi level at 3.58 states/eV per cell.